# 1
A relaxed NaLi3Ga crystal. Source: the Alexandria database, functional PBE.

The structure in POSCAR format:
```
NaLi3Ga
1.0
5.024 0.000 0.000
0.000 5.024 0.000
0.000 0.000 5.024
Na Li Ga
1 3 1
Direct
0.000 0.000 0.000 Na
0.000 0.500 0.500 Li
0.500 0.000 0.500 Li
0.500 0.500 0.000 Li
0.500 0.500 0.500 Ga
```

Values from the calculation:
As for the calculated formation energy: 0.044 eV per atom. The value obtained for the energy is -9.869 eV/cell. The calculation puts the volume at 126.84 Å³/cell. Its space group is Pm-3m (221). The excess energy over the best structure of this formula in the dataset comes out at 0 meV/atom.

# 2
A relaxed NaLi2Ga6 crystal. Source: the Alexandria database, functional PBE.

The structure in POSCAR format:
```
NaLi2Ga6
1.0
-1.681 3.776 6.460
1.681 -3.776 6.460
1.681 3.776 -6.460
Na Li Ga
1 2 6
Direct
0.000 0.000 0.000 Na
0.361 0.861 0.500 Li
0.639 0.139 0.500 Li
0.002 0.680 0.323 Ga
0.331 0.500 0.831 Ga
0.357 0.680 0.677 Ga
0.643 0.320 0.323 Ga
0.669 0.500 0.169 Ga
0.998 0.320 0.677 Ga
```

Values from the calculation:
As for the calculated formation energy: -0.199 eV per atom. The value obtained for the energy is -25.096 eV/cell. The calculation puts the volume at 164.05 Å³/cell. Its space group is Immm (71).

# 3
A relaxed Na2Li2Ga15 crystal. Source: the Alexandria database, functional PBE.

The structure in POSCAR format:
```
Na2Li2Ga15
1.0
4.660 2.691 4.934
-4.660 2.691 4.934
0.000 -5.381 4.934
Na Li Ga
2 2 15
Direct
0.161 0.161 0.161 Na
0.839 0.839 0.839 Na
0.396 0.396 0.396 Li
0.604 0.604 0.604 Li
0.000 0.500 0.500 Ga
0.133 0.133 0.646 Ga
0.133 0.646 0.133 Ga
0.213 0.500 0.787 Ga
0.213 0.787 0.500 Ga
0.354 0.867 0.867 Ga
0.500 0.000 0.500 Ga
0.500 0.213 0.787 Ga
0.500 0.500 0.000 Ga
0.500 0.787 0.213 Ga
0.646 0.133 0.133 Ga
0.787 0.213 0.500 Ga
0.787 0.500 0.213 Ga
0.867 0.354 0.867 Ga
0.867 0.867 0.354 Ga
```

Values from the calculation:
As for the calculated formation energy: -0.084 eV per atom. The value obtained for the energy is -53.464 eV/cell. The calculation puts the volume at 371.18 Å³/cell. Its space group is R-3m (166).

# 4
A relaxed NaLi4Ga crystal. Source: the Alexandria database, functional PBE.

The structure in POSCAR format:
```
NaLi4Ga
1.0
0.000 3.885 3.885
3.885 0.000 3.885
3.885 3.885 0.000
Na Li Ga
1 4 1
Direct
0.000 0.000 0.000 Na
0.377 0.377 0.377 Li
0.377 0.377 0.869 Li
0.377 0.869 0.377 Li
0.869 0.377 0.377 Li
0.750 0.750 0.750 Ga
```

Values from the calculation:
As for the calculated formation energy: 0.024 eV per atom. The value obtained for the energy is -11.859 eV/cell. The calculation puts the volume at 117.29 Å³/cell. Its space group is F-43m (216).

# 5
A relaxed Na2LiGa crystal. Source: the Alexandria database, functional PBE.

The structure in POSCAR format:
```
Na2LiGa
1.0
-4.140 4.140 2.956
4.140 -4.140 2.956
4.140 4.140 -2.956
Na Li Ga
4 2 2
Direct
0.125 0.125 0.500 Na
0.375 0.875 0.000 Na
0.625 0.625 0.500 Na
0.875 0.375 0.000 Na
0.000 0.000 0.000 Li
0.750 0.250 0.500 Li
0.250 0.750 0.500 Ga
0.500 0.500 0.000 Ga
```

Values from the calculation:
As for the calculated formation energy: 0.115 eV per atom. The value obtained for the energy is -14.240 eV/cell. The calculation puts the volume at 202.61 Å³/cell. Its space group is I-42d (122).

# 6
A relaxed Na2LiGa2 crystal. Source: the Alexandria database, functional PBE.

The structure in POSCAR format:
```
Na2LiGa2
1.0
8.525 0.000 0.000
0.000 8.525 0.000
0.000 0.000 3.318
Na Li Ga
4 2 4
Direct
0.188 0.312 0.000 Na
0.312 0.812 0.000 Na
0.688 0.188 0.000 Na
0.812 0.688 0.000 Na
0.000 0.000 0.500 Li
0.500 0.500 0.500 Li
0.107 0.607 0.500 Ga
0.393 0.107 0.500 Ga
0.607 0.893 0.500 Ga
0.893 0.393 0.500 Ga
```

Values from the calculation:
As for the calculated formation energy: 0.031 eV per atom. The value obtained for the energy is -20.903 eV/cell. The calculation puts the volume at 241.18 Å³/cell. Its space group is P4/mbm (127). The excess energy over the best structure of this formula in the dataset comes out at 0 meV/atom.